{
  "formula": "In2AsBr",
  "functional": "SCAN",
  "state": "PBEsol geometry",
  "formation_energy_uncorrected_ev_per_atom": -0.08,
  "density_g_cm3": 6.8,
  "relative_energy_mev_per_atom": 0,
  "lattice_angstrom": [[0.000, 3.616, 3.616], [3.616, 0.000, 3.616], [3.616, 3.616, 0.000]],
  "species": ["In", "In", "As", "Br"],
  "fractional_positions": [[0.250, 0.250, 0.250], [0.750, 0.750, 0.750], [0.000, 0.000, 0.000], [0.500, 0.500, 0.500]]
}